Here is a geometry-optimized DyFeIrO6 structure from Alexandria via LeMat-Bulk. Energies are from GGA+U.

For the energy, the calculation gives -6.96 eV/atom. Its space-group type is P-31c, No. 163.

a b c (Å): 5.338 5.338 8.698
angles (deg): 90.00 90.00 120.00
Each line ends with the local moment (μB).
Fractional coordinates of all 18 atoms:
Dy 0.667 0.333 0.750  -0.01
O 0.689 0.041 0.377  -0.10
O 0.352 0.311 0.377  -0.10
O 0.959 0.311 0.123  -0.10
Ir 0.333 0.667 0.750  -1.10
Ir 0.667 0.333 0.250  -1.10
O 0.041 0.689 0.877  -0.10
O 0.311 0.959 0.623  -0.10
Fe 0.000 0.000 0.500  4.28
O 0.689 0.648 0.123  -0.10
O 0.041 0.352 0.623  -0.10
O 0.311 0.352 0.877  -0.10
Dy 0.333 0.667 0.250  -0.01
O 0.648 0.959 0.877  -0.10
O 0.352 0.041 0.123  -0.10
O 0.648 0.689 0.623  -0.10
O 0.959 0.648 0.377  -0.10
Fe 0.000 0.000 0.000  4.28